# 1
# In3Pt12W

A relaxed In3Pt12W crystal (PBE-GGA, Alexandria).

Unit cell a=4.0311 b=4.0311 c=16.1143 alpha=90.00 beta=90.00 gamma=90.00
Last column: nearest neighbours and their distance in Å.
Fractional coordinates of all 16 atoms:
In 0.0000 0.0000 0.0000  12 Pt 2.85-2.86
In 0.0000 0.0000 0.2485  12 Pt 2.82-2.97
In 0.0000 0.0000 0.7515  12 Pt 2.82-2.97
Pt 0.0000 0.5000 0.1259  4 In 2.82-2.86, 8 Pt 2.85-2.90
Pt 0.0000 0.5000 0.3836  2 W 2.75, 8 Pt 2.75-2.89, 2 In 2.97
Pt 0.0000 0.5000 0.6164  2 W 2.75, 8 Pt 2.75-2.89, 2 In 2.97
Pt 0.0000 0.5000 0.8741  4 In 2.82-2.86, 8 Pt 2.85-2.90
Pt 0.5000 0.0000 0.1259  4 In 2.82-2.86, 8 Pt 2.85-2.90
Pt 0.5000 0.0000 0.3836  2 W 2.75, 8 Pt 2.75-2.89, 2 In 2.97
Pt 0.5000 0.0000 0.6164  2 W 2.75, 8 Pt 2.75-2.89, 2 In 2.97
Pt 0.5000 0.0000 0.8741  4 In 2.82-2.86, 8 Pt 2.85-2.90
Pt 0.5000 0.5000 0.0000  4 In 2.85, 8 Pt 2.86
Pt 0.5000 0.5000 0.2554  4 In 2.85, 8 Pt 2.89-2.90
Pt 0.5000 0.5000 0.5000  8 Pt 2.75, 4 W 2.85
Pt 0.5000 0.5000 0.7446  4 In 2.85, 8 Pt 2.89-2.90
W 0.0000 0.0000 0.5000  12 Pt 2.75-2.85

Results
Size of the total moment = 0.00 μB per cell
Space group = No. 123
Calculated volume = 262 Å³/f.u.
ΔE_f = -0.37 eV per atom

=====

# 2
# In2PtW

A relaxed In2PtW crystal (PBE-GGA, Alexandria).

Unit cell a=4.7428 b=4.7428 c=4.7428 alpha=60.00 beta=60.00 gamma=60.00
Last column: nearest neighbours and their distance in Å.
Fractional coordinates of all 4 atoms:
In 0.0000 0.0000 0.0000  4 W 2.90, 4 In 2.90
In 0.2500 0.2500 0.2500  4 In 2.90, 4 Pt 2.90
Pt 0.5000 0.5000 0.5000  4 W 2.90, 4 In 2.90
W 0.7500 0.7500 0.7500  4 In 2.90, 4 Pt 2.90

Results
Size of the total moment = 1.72 μB per cell
Space group = No. 216
Calculated volume = 75 Å³/f.u.
ΔE_f = 0.52 eV per atom

=====

# 3
# In2PtW

A relaxed In2PtW crystal (PBE-GGA, Alexandria).

Unit cell a=5.0888 b=5.0888 c=5.0888 alpha=130.84 beta=130.84 gamma=72.06
Last column: nearest neighbours and their distance in Å.
Fractional coordinates of all 4 atoms:
In 0.2500 0.7500 0.5000  4 W 2.95, 4 Pt 2.95, 4 In 2.99
In 0.7500 0.2500 0.5000  4 W 2.95, 4 Pt 2.95, 4 In 2.99
Pt 0.0000 0.0000 0.0000  8 In 2.95, 4 W 2.99
W 0.5000 0.5000 0.0000  8 In 2.95, 4 Pt 2.99

Results
Size of the total moment = 0.00 μB per cell
Space group = No. 139
Calculated volume = 74 Å³/f.u.
ΔE_f = 0.42 eV per atom